(1)
DFT (SCAN) results for a PBEsol-optimized structure of NaAg2Cl. Values from VASP.

Formation energy (no corrections) (eV per atom): 0.056
Space-group type: No. 225
Raw total energy (eV/atom): -18.68

Geometry as Quantum ESPRESSO input:
```
&SYSTEM
  ibrav = 0, nat = 4, ntyp = 3
/
ATOMIC_SPECIES
Cl 35.45 Cl.upf
Ag 107.87 Ag.upf
Na 22.99 Na.upf
ATOMIC_POSITIONS angstrom
Cl 0.065 -5.548 -2.037
Ag 0.097 -8.323 -3.056
Ag 0.032 -2.774 -1.019
Na 0.000 0.000 0.000
CELL_PARAMETERS angstrom
-2.651 -3.971 -0.702
0.776 -2.765 -3.879
2.005 -4.361 0.507
```



(2)
DFT (SCAN) results for a PBEsol-optimized structure of MnBe2Cr. Values from VASP.

Energy of formation (kJ per mole of atoms): -11.3
Space-group type: No. 225
Raw total energy (eV/atom): -11.45

Geometry as Quantum ESPRESSO input:
```
&SYSTEM
  ibrav = 0, nat = 4, ntyp = 3
/
ATOMIC_SPECIES
Be 9.01 Be.upf
Cr 52.00 Cr.upf
Mn 54.94 Mn.upf
ATOMIC_POSITIONS angstrom
Be 1.908 1.101 0.779
Be 5.723 3.304 2.336
Cr 0.000 0.000 0.000
Mn 3.815 2.203 1.558
CELL_PARAMETERS angstrom
3.815 0.000 0.000
1.908 3.304 0.000
1.908 1.101 3.115
```



(3)
DFT (SCAN) results for a PBEsol-optimized structure of Zn2InIr. Values from VASP.

Energy of formation (kJ per mole of atoms): -14.6
Space-group type: No. 119
Raw total energy (eV/atom): -33.03

Geometry as Quantum ESPRESSO input:
```
&SYSTEM
  ibrav = 0, nat = 4, ntyp = 3
/
ATOMIC_SPECIES
Ir 192.22 Ir.upf
Zn 65.41 Zn.upf
In 114.82 In.upf
ATOMIC_POSITIONS angstrom
Ir 1.935 0.000 2.026
Zn 0.000 0.000 0.000
Zn 0.000 1.935 2.026
In 1.935 1.935 0.000
CELL_PARAMETERS angstrom
3.869 0.000 0.000
0.000 3.869 0.000
-1.935 -1.935 4.053
```



(4)
DFT (SCAN) results for a PBEsol-optimized structure of Ho6MnBi2. Values from VASP.

Energy of formation (kJ per mole of atoms): -50.5
Space-group type: No. 189
Raw total energy (eV/atom): -52.67

Geometry as Quantum ESPRESSO input:
```
&SYSTEM
  ibrav = 0, nat = 9, ntyp = 3
/
ATOMIC_SPECIES
Mn 54.94 Mn.upf
Ho 164.93 Ho.upf
Bi 208.98 Bi.upf
ATOMIC_POSITIONS angstrom
Mn -1.742 -1.043 -0.467
Ho 0.699 -1.541 0.834
Ho -2.268 -1.555 2.640
Ho 0.093 -5.087 1.722
Ho -4.393 2.207 2.163
Ho -1.010 1.239 1.002
Ho -1.031 -1.002 6.088
Bi -1.901 1.347 4.083
Bi 0.559 -2.652 3.841
CELL_PARAMETERS angstrom
-3.485 -2.087 -0.934
3.018 -6.651 3.599
-4.360 5.347 4.325
```



(5)
DFT (SCAN) results for a PBEsol-optimized structure of ZnCr2Rh. Values from VASP.

Energy of formation (kJ per mole of atoms): -3.9
Space-group type: No. 44
Raw total energy (eV/atom): -21.05

Geometry as Quantum ESPRESSO input:
```
&SYSTEM
  ibrav = 0, nat = 4, ntyp = 3
/
ATOMIC_SPECIES
Zn 65.41 Zn.upf
Cr 52.00 Cr.upf
Rh 102.91 Rh.upf
ATOMIC_POSITIONS angstrom
Zn 2.380 -1.532 0.997
Cr -0.148 -1.829 1.440
Cr 0.067 -0.073 0.200
Rh 1.183 -1.299 3.556
CELL_PARAMETERS angstrom
-1.398 -2.450 -0.430
3.504 -1.687 -1.781
0.161 0.736 4.755
```



(6)
DFT (SCAN) results for a PBEsol-optimized structure of In2CuIr. Values from VASP.

Energy of formation (kJ per mole of atoms): 25.1
Space-group type: No. 216
Raw total energy (eV/atom): -38.01

Geometry as Quantum ESPRESSO input:
```
&SYSTEM
  ibrav = 0, nat = 4, ntyp = 3
/
ATOMIC_SPECIES
In 114.82 In.upf
Cu 63.55 Cu.upf
Ir 192.22 Ir.upf
ATOMIC_POSITIONS angstrom
In -6.984 4.543 -0.556
In 0.000 0.000 0.000
Cu -4.656 3.029 -0.371
Ir -2.328 1.514 -0.185
CELL_PARAMETERS angstrom
-1.898 3.673 -1.889
-4.386 -0.067 -1.193
-3.029 2.451 2.340
```